A plane-wave DFT calculation with PBE was carried out for an optimized crystal structure of La3ZnPd2.

Summary:
- crystal system = orthorhombic
- E_form (eV per atom) = -0.6056

Cell: 4.122 12.377 12.675 Å, 90.00 90.00 90.00°
Fractional positions:
La  0.250  0.673  0.204
La  0.250  0.075  0.874
La  0.250  0.130  0.563
La  0.250  0.425  0.374
La  0.750  0.925  0.126
La  0.250  0.827  0.704
La  0.750  0.173  0.296
La  0.250  0.370  0.063
La  0.750  0.630  0.937
La  0.750  0.575  0.626
La  0.750  0.327  0.796
La  0.750  0.870  0.437
Pd  0.750  0.193  0.010
Pd  0.250  0.807  0.990
Pd  0.750  0.307  0.510
Pd  0.750  0.501  0.189
Pd  0.250  0.693  0.490
Pd  0.750  0.999  0.689
Pd  0.250  0.499  0.811
Pd  0.250  0.001  0.311
Zn  0.250  0.380  0.622
Zn  0.250  0.120  0.122
Zn  0.750  0.620  0.378
Zn  0.750  0.880  0.878